Crystalline Sn2SbCCl at its relaxed geometry. Source: the Alexandria database, functional PBE.

Summary:
Formation energy from raw total energies in meV per atom: 741
E in eV per atom: -3.898
Crystal system: tetragonal
M_tot in μB/cell: 0.0

Unit cell a=5.3746 b=5.3746 c=4.3704 alpha=90.00 beta=90.00 gamma=90.00
Closest atoms and distances in Å follow each position.
Space group P4/mmm (No. 123)
Symmetry-distinct sites (fractional):
Sn 0.0000 0.5000 0.0000  2 C 2.69
Sb 0.0000 0.0000 0.5000  2 C 2.19
C 0.0000 0.0000 0.0000  2 Sb 2.19
Cl 0.5000 0.5000 0.5000  8 Sn 3.46, 4 Sb 3.80